No. 1
Ca4MgRu: optimized geometry, PBE.

Unit cell a=8.264 b=8.264 c=6.293 alpha=100.78 beta=100.78 gamma=111.71
Atoms (fractional coordinates):
Ca  0.060  0.732  0.946
Ca  0.195  0.350  0.632
Ca  0.268  0.940  0.554
Ca  0.350  0.195  0.132
Ca  0.650  0.805  0.868
Ca  0.732  0.060  0.446
Ca  0.805  0.650  0.368
Ca  0.940  0.268  0.054
Mg  0.377  0.623  0.250
Mg  0.623  0.377  0.750
Ru  0.001  0.999  0.750
Ru  0.999  0.001  0.250

For the calculated formation energy, the calculation gives 0.01 eV/atom. The calculation puts the energy relative to the lowest polymorph listed for this composition at 0 kJ/mol of formula units. The value obtained for the total energy is -3.133 eV per atom. The calculation puts the density of states at the Fermi level at 1.058 states/eV/atom.

No. 2
Tl4Ni2N: optimized geometry, PBE.

Unit cell a=6.971 b=6.971 c=6.971 alpha=136.81 beta=136.81 gamma=62.73
Atoms (fractional coordinates):
Tl  0.000  0.500  0.500
Tl  0.194  0.194  0.000
Tl  0.500  0.000  0.500
Tl  0.806  0.806  0.000
Ni  0.405  0.405  0.000
Ni  0.595  0.595  0.000
N  0.000  0.000  0.000

The value obtained for the total energy is -3.565 eV per atom. The calculation puts the density of states at the Fermi level at 0.560 states/eV/atom. For the energy relative to the elements, uncorrected, the calculation gives 628.3 meV per atom.

No. 3
Tb6AlZn2: optimized geometry, PBE.

Unit cell a=8.560 b=8.560 c=8.560 alpha=110.53 beta=108.96 gamma=108.93
Atoms (fractional coordinates):
Tb  0.044  0.222  0.821
Tb  0.246  0.298  0.544
Tb  0.246  0.702  0.948
Tb  0.265  0.585  0.320
Tb  0.265  0.945  0.680
Tb  0.401  0.222  0.179
Tb  0.599  0.778  0.821
Tb  0.735  0.055  0.320
Tb  0.735  0.415  0.680
Tb  0.754  0.298  0.052
Tb  0.754  0.702  0.456
Tb  0.956  0.778  0.179
Al  0.000  0.500  0.500
Al  0.500  0.500  0.000
Zn  0.000  0.135  0.135
Zn  0.000  0.865  0.865
Zn  0.373  0.000  0.373
Zn  0.627  0.000  0.627

For the calculated formation energy, the calculation gives -0.22 eV/atom. The calculation puts the energy relative to the lowest polymorph listed for this composition at 0 kJ/mol of formula units. The value obtained for the total energy is -4.002 eV per atom. The calculation puts the density of states at the Fermi level at 1.091 states/eV/atom.

No. 4
ZrReRu3: optimized geometry, PBE.

Unit cell a=4.638 b=4.638 c=4.638 alpha=90.00 beta=90.00 gamma=90.00
Atoms (fractional coordinates):
Zr  0.000  0.000  0.000
Re  0.500  0.500  0.500
Ru  0.000  0.000  0.500
Ru  0.000  0.500  0.000
Ru  0.500  0.000  0.000

For the calculated formation energy, the calculation gives 2.22 eV/atom. The calculation puts the energy relative to the lowest polymorph listed for this composition at 557 kJ/mol of formula units. The value obtained for the total energy is -7.544 eV per atom. The calculation puts the density of states at the Fermi level at 2.900 states/eV/atom.

No. 5
Mg2TlSnIr: optimized geometry, PBE.

Unit cell a=5.118 b=5.118 c=5.043 alpha=90.00 beta=90.00 gamma=90.00
Atoms (fractional coordinates):
Mg  0.000  0.500  0.000
Mg  0.500  0.000  0.000
Tl  0.000  0.000  0.500
Sn  0.500  0.500  0.500
Ir  0.500  0.500  0.000

For the calculated formation energy, the calculation gives -0.15 eV/atom. The value obtained for the total energy is -3.835 eV per atom. The calculation puts the density of states at the Fermi level at 0.277 states/eV/atom.

No. 6
YSi3F: optimized geometry, PBE.

Unit cell a=4.435 b=4.435 c=4.435 alpha=90.00 beta=90.00 gamma=90.00
Atoms (fractional coordinates):
Y  0.000  0.000  0.000
Si  0.000  0.500  0.500
Si  0.500  0.000  0.500
Si  0.500  0.500  0.000
F  0.500  0.500  0.500

The calculation puts the energy relative to the lowest polymorph listed for this composition at 0 kJ/mol of formula units. The value obtained for the total energy is -5.195 eV per atom. The calculation puts the density of states at the Fermi level at 0.464 states/eV/atom. For the energy relative to the elements, uncorrected, the calculation gives -273.9 meV per atom.

No. 7
IrRu3F: optimized geometry, PBE.

Unit cell a=4.126 b=4.126 c=4.126 alpha=90.00 beta=90.00 gamma=90.00
Atoms (fractional coordinates):
Ir  0.000  0.000  0.000
Ru  0.000  0.500  0.500
Ru  0.500  0.000  0.500
Ru  0.500  0.500  0.000
F  0.500  0.500  0.500

The calculation puts the energy relative to the lowest polymorph listed for this composition at 0 kJ/mol of formula units. The value obtained for the total energy is -6.693 eV per atom. The calculation puts the density of states at the Fermi level at 1.319 states/eV/atom. For the energy relative to the elements, uncorrected, the calculation gives 1018.5 meV per atom.

No. 8
K3Cd2Pb4: optimized geometry, PBE.

Unit cell a=5.060 b=7.079 c=10.468 alpha=101.46 beta=90.11 gamma=110.92
Atoms (fractional coordinates):
K  0.000  0.000  0.000
K  0.370  0.739  0.605
K  0.630  0.261  0.395
Cd  0.337  0.674  0.220
Cd  0.663  0.326  0.780
Pb  0.082  0.165  0.647
Pb  0.289  0.577  0.915
Pb  0.711  0.423  0.085
Pb  0.918  0.835  0.353

For the calculated formation energy, the calculation gives -0.10 eV/atom. The value obtained for the total energy is -2.317 eV per atom. The calculation puts the density of states at the Fermi level at 0.594 states/eV/atom.